Record 1
# BiS2N GGA-PBE relaxed
# * formation energy without anion corrections: 1334.0 meV per atom
# * V: 301.56 Å³/cell
data_BiS2N
_space_group_name_H-M_alt 'F m -3 m'
_space_group_IT_number 225
_space_group_name_Hall '-F 4 2 3'
_cell_length_a 6.706
_cell_length_b 6.706
_cell_length_c 6.706
_cell_angle_alpha 90.00
_cell_angle_beta 90.00
_cell_angle_gamma 90.00
loop_
_atom_site_label
_atom_site_fract_x
_atom_site_fract_y
_atom_site_fract_z
Bi1 0.000 0.000 0.000
S1 0.250 0.250 0.250
N1 0.000 0.000 0.500

Record 2
# Bi2S3N2 GGA-PBE relaxed
# * formation energy without anion corrections: -186.5 meV per atom
# * V: 261.28 Å³/cell
data_Bi2S3N2
_space_group_name_H-M_alt 'P -1'
_space_group_IT_number 2
_space_group_name_Hall '-P 1'
_cell_length_a 4.051
_cell_length_b 6.961
_cell_length_c 10.120
_cell_angle_alpha 101.27
_cell_angle_beta 98.56
_cell_angle_gamma 106.91
loop_
_atom_site_label
_atom_site_fract_x
_atom_site_fract_y
_atom_site_fract_z
Bi1 0.183 0.309 0.078
S1 0.135 0.389 0.838
S2 0.500 0.000 0.000
N1 0.436 0.456 0.446

Record 3
# BiSN3 GGA-PBE relaxed
# * formation energy without anion corrections: 1564.5 meV per atom
# * V: 52.47 Å³/cell
data_BiSN3
_space_group_name_H-M_alt 'P m -3 m'
_space_group_IT_number 221
_space_group_name_Hall '-P 4 2 3'
_cell_length_a 3.744
_cell_length_b 3.744
_cell_length_c 3.744
_cell_angle_alpha 90.00
_cell_angle_beta 90.00
_cell_angle_gamma 90.00
loop_
_atom_site_label
_atom_site_fract_x
_atom_site_fract_y
_atom_site_fract_z
Bi1 0.000 0.000 0.000
S1 0.500 0.500 0.500
N1 0.000 0.500 0.500